(1)
ZnGa2N2 | PBE | relaxed

Output
- Space-group type: No. 127
- Formation energy without anion corrections: 0.39 eV per atom
- Total DFT energy (no corrections): -4.4059 eV per atom

a = 6.489 Å, b = 6.489 Å, c = 3.196 Å
α = 90.00°, β = 90.00°, γ = 90.00°
Sites, in units of the cell vectors:
Zn 0.000 0.000 0.000
Zn 0.500 0.500 0.000
Ga 0.130 0.370 0.500
Ga 0.370 0.870 0.500
Ga 0.630 0.130 0.500
Ga 0.870 0.630 0.500
N 0.245 0.255 0.000
N 0.255 0.755 0.000
N 0.745 0.245 0.000
N 0.755 0.745 0.000

(2)
Zr2GaN3 | PBE | relaxed

Output
- Space-group type: No. 15
- Formation energy without anion corrections: -0.94 eV per atom
- Total DFT energy (no corrections): -8.4588 eV per atom

a = 6.176 Å, b = 6.176 Å, c = 10.331 Å
α = 96.25°, β = 96.25°, γ = 119.46°
Sites, in units of the cell vectors:
Zr 0.023 0.775 0.561
Zr 0.143 0.381 0.796
Zr 0.225 0.977 0.939
Zr 0.381 0.143 0.296
Zr 0.619 0.857 0.704
Zr 0.775 0.023 0.061
Zr 0.857 0.619 0.204
Zr 0.977 0.225 0.439
Ga 0.355 0.565 0.118
Ga 0.435 0.645 0.382
Ga 0.565 0.355 0.618
Ga 0.645 0.435 0.882
N 0.029 0.971 0.750
N 0.097 0.276 0.995
N 0.212 0.564 0.607
N 0.249 0.751 0.250
N 0.276 0.097 0.495
N 0.436 0.788 0.893
N 0.564 0.212 0.107
N 0.724 0.903 0.505
N 0.751 0.249 0.750
N 0.788 0.436 0.393
N 0.903 0.724 0.005
N 0.971 0.029 0.250

(3)
ZrGa3N | PBE | relaxed

Output
- Space-group type: No. 221
- Formation energy without anion corrections: 1.57 eV per atom
- Total DFT energy (no corrections): -3.6240 eV per atom

a = 5.359 Å, b = 5.359 Å, c = 5.359 Å
α = 90.00°, β = 90.00°, γ = 90.00°
Sites, in units of the cell vectors:
Zr 0.000 0.000 0.000
Ga 0.000 0.000 0.500
Ga 0.000 0.500 0.000
Ga 0.500 0.000 0.000
N 0.500 0.500 0.500

(4)
ZrGa2N | PBE | relaxed

Output
- Space-group type: No. 122
- Formation energy without anion corrections: -0.04 eV per atom
- Total DFT energy (no corrections): -5.7702 eV per atom

a = 5.691 Å, b = 5.691 Å, c = 5.691 Å
α = 99.40°, β = 99.40°, γ = 132.33°
Sites, in units of the cell vectors:
Zr 0.000 0.000 0.000
Zr 0.750 0.250 0.500
Ga 0.208 0.625 0.083
Ga 0.375 0.458 0.583
Ga 0.542 0.125 0.917
Ga 0.875 0.792 0.417
N 0.250 0.750 0.500
N 0.500 0.500 0.000

(5)
Zr4GaN | PBE | relaxed

Output
- Space-group type: No. 14
- Formation energy without anion corrections: -0.63 eV per atom
- Total DFT energy (no corrections): -8.2175 eV per atom

a = 6.103 Å, b = 6.200 Å, c = 6.061 Å
α = 90.00°, β = 94.68°, γ = 90.00°
Sites, in units of the cell vectors:
Zr 0.107 0.165 0.178
Zr 0.107 0.335 0.678
Zr 0.325 0.627 0.094
Zr 0.325 0.873 0.594
Zr 0.675 0.127 0.406
Zr 0.675 0.373 0.906
Zr 0.893 0.665 0.322
Zr 0.893 0.835 0.822
Ga 0.500 0.000 0.000
Ga 0.500 0.500 0.500
N 0.000 0.000 0.500
N 0.000 0.500 0.000

(6)
ZrGa2N | PBE | relaxed

Output
- Space-group type: No. 225
- Formation energy without anion corrections: 0.84 eV per atom
- Total DFT energy (no corrections): -4.8904 eV per atom

a = 4.519 Å, b = 4.519 Å, c = 4.519 Å
α = 60.00°, β = 60.00°, γ = 60.00°
Sites, in units of the cell vectors:
Zr 0.000 0.000 0.000
Ga 0.250 0.250 0.250
Ga 0.750 0.750 0.750
N 0.500 0.500 0.500

(7)
ZrGa3N | PBE | relaxed

Output
- Space-group type: No. 221
- Formation energy without anion corrections: 0.33 eV per atom
- Total DFT energy (no corrections): -4.8636 eV per atom

a = 4.325 Å, b = 4.325 Å, c = 4.325 Å
α = 90.00°, β = 90.00°, γ = 90.00°
Sites, in units of the cell vectors:
Zr 0.000 0.000 0.000
Ga 0.000 0.500 0.500
Ga 0.500 0.000 0.500
Ga 0.500 0.500 0.000
N 0.500 0.500 0.500

(8)
Zr6GaN4 | PBE | relaxed

Output
- Space-group type: No. 63
- Formation energy without anion corrections: -1.38 eV per atom
- Total DFT energy (no corrections): -9.3427 eV per atom

a = 5.780 Å, b = 5.780 Å, c = 17.277 Å
α = 90.00°, β = 90.00°, γ = 146.26°
Sites, in units of the cell vectors:
Zr 0.000 0.000 0.000
Zr 0.000 0.000 0.500
Zr 0.145 0.855 0.750
Zr 0.277 0.723 0.080
Zr 0.277 0.723 0.420
Zr 0.463 0.537 0.648
Zr 0.463 0.537 0.852
Zr 0.537 0.463 0.148
Zr 0.537 0.463 0.352
Zr 0.723 0.277 0.580
Zr 0.723 0.277 0.920
Zr 0.855 0.145 0.250
Ga 0.159 0.841 0.250
Ga 0.841 0.159 0.750
N 0.093 0.907 0.621
N 0.093 0.907 0.879
N 0.361 0.639 0.538
N 0.361 0.639 0.962
N 0.639 0.361 0.038
N 0.639 0.361 0.462
N 0.907 0.093 0.121
N 0.907 0.093 0.379

(9)
NaGa | PBE | relaxed

Output
- Space-group type: No. 217
- E_form: 0.27 eV/atom
- Total DFT energy (no corrections): -1.9032 eV per atom

a = 7.961 Å, b = 7.961 Å, c = 7.961 Å
α = 109.47°, β = 109.47°, γ = 109.47°
Sites, in units of the cell vectors:
Na 0.000 0.000 0.577
Na 0.000 0.577 0.000
Na 0.423 0.423 0.423
Na 0.577 0.000 0.000
Ga 0.000 0.000 0.209
Ga 0.000 0.209 0.000
Ga 0.209 0.000 0.000
Ga 0.791 0.791 0.791

(10)
Na6Ga | PBE | relaxed

Output
- Space-group type: No. 229
- E_form: 0.50 eV/atom
- Total DFT energy (no corrections): -1.0628 eV per atom

a = 7.496 Å, b = 7.496 Å, c = 7.496 Å
α = 109.47°, β = 109.47°, γ = 109.47°
Sites, in units of the cell vectors:
Na 0.250 0.500 0.750
Na 0.250 0.750 0.500
Na 0.500 0.250 0.750
Na 0.500 0.750 0.250
Na 0.750 0.250 0.500
Na 0.750 0.500 0.250
Ga 0.000 0.000 0.000

(11)
NaGa | PBE | relaxed

Output
- Space-group type: No. 139
- E_form: -0.07 eV/atom
- Total DFT energy (no corrections): -2.2435 eV per atom

a = 7.460 Å, b = 7.460 Å, c = 7.460 Å
α = 93.63°, β = 93.63°, γ = 150.84°
Sites, in units of the cell vectors:
Na 0.159 0.159 0.318
Na 0.159 0.841 0.000
Na 0.841 0.159 0.000
Na 0.841 0.841 0.682
Ga 0.142 0.500 0.642
Ga 0.500 0.142 0.642
Ga 0.500 0.858 0.358
Ga 0.858 0.500 0.358

(12)
Na3Ga2 | PBE | relaxed

Output
- Space-group type: No. 43
- E_form: -0.01 eV/atom
- Total DFT energy (no corrections): -2.0120 eV per atom

a = 9.550 Å, b = 6.190 Å, c = 10.823 Å
α = 61.34°, β = 34.66°, γ = 83.99°
Sites, in units of the cell vectors:
Na 0.000 0.000 0.000
Na 0.250 0.250 0.250
Na 0.435 0.558 0.349
Na 0.558 0.435 0.657
Na 0.593 0.901 0.692
Na 0.901 0.593 0.815
Ga 0.160 0.734 0.292
Ga 0.436 0.958 0.516
Ga 0.734 0.160 0.814
Ga 0.958 0.436 0.090

(13)
NaGa | PBE | relaxed

Output
- Space-group type: No. 65
- E_form: 0.00 eV/atom
- Total DFT energy (no corrections): -2.1728 eV per atom

a = 2.996 Å, b = 2.996 Å, c = 4.929 Å
α = 90.00°, β = 90.00°, γ = 92.21°
Sites, in units of the cell vectors:
Na 0.000 0.000 0.000
Ga 0.500 0.500 0.500

(14)
NaGa | PBE | relaxed

Output
- Space-group type: No. 70
- E_form: 0.10 eV/atom
- Total DFT energy (no corrections): -2.0745 eV per atom

a = 7.388 Å, b = 7.008 Å, c = 6.042 Å
α = 68.50°, β = 61.95°, γ = 49.55°
Sites, in units of the cell vectors:
Na 0.057 0.693 0.057
Na 0.307 0.943 0.307
Na 0.693 0.057 0.693
Na 0.943 0.307 0.943
Ga 0.213 0.537 0.537
Ga 0.463 0.787 0.787
Ga 0.537 0.213 0.213
Ga 0.787 0.463 0.463

(15)
NaGa4 | PBE | relaxed

Output
- Space-group type: No. 221
- E_form: 0.69 eV/atom
- Total DFT energy (no corrections): -2.0002 eV per atom

a = 5.173 Å, b = 5.173 Å, c = 5.173 Å
α = 90.00°, β = 90.00°, γ = 90.00°
Sites, in units of the cell vectors:
Na 0.000 0.000 0.000
Ga 0.000 0.000 0.500
Ga 0.000 0.500 0.000
Ga 0.500 0.000 0.000
Ga 0.500 0.500 0.500

(16)
NaGa | PBE | relaxed

Output
- Space-group type: No. 225
- E_form: 0.28 eV/atom
- Total DFT energy (no corrections): -1.8939 eV per atom

a = 4.287 Å, b = 4.287 Å, c = 4.287 Å
α = 60.00°, β = 60.00°, γ = 60.00°
Sites, in units of the cell vectors:
Na 0.000 0.000 0.000
Ga 0.500 0.500 0.500

(17)
NaGa | PBE | relaxed

Output
- Space-group type: No. 221
- E_form: 0.07 eV/atom
- Total DFT energy (no corrections): -2.1004 eV per atom

a = 3.592 Å, b = 3.592 Å, c = 3.592 Å
α = 90.00°, β = 90.00°, γ = 90.00°
Sites, in units of the cell vectors:
Na 0.000 0.000 0.000
Ga 0.500 0.500 0.500

(18)
NaGa | PBE | relaxed

Output
- Space-group type: No. 59
- E_form: 0.00 eV/atom
- Total DFT energy (no corrections): -2.1720 eV per atom

a = 5.895 Å, b = 9.777 Å, c = 5.426 Å
α = 90.00°, β = 90.00°, γ = 90.00°
Sites, in units of the cell vectors:
Na 0.250 0.080 0.001
Na 0.250 0.420 0.001
Na 0.250 0.750 0.313
Na 0.750 0.250 0.687
Na 0.750 0.580 0.999
Na 0.750 0.920 0.999
Ga 0.000 0.000 0.500
Ga 0.000 0.500 0.500
Ga 0.250 0.250 0.503
Ga 0.500 0.000 0.500
Ga 0.500 0.500 0.500
Ga 0.750 0.750 0.497

(19)
NaGa8 | PBE | relaxed

Output
- Space-group type: No. 139
- E_form: -0.01 eV/atom
- Total DFT energy (no corrections): -2.8449 eV per atom

a = 6.580 Å, b = 6.580 Å, c = 6.580 Å
α = 97.15°, β = 97.15°, γ = 138.68°
Sites, in units of the cell vectors:
Na 0.000 0.000 0.000
Ga 0.000 0.342 0.342
Ga 0.000 0.658 0.658
Ga 0.326 0.326 0.651
Ga 0.326 0.674 0.000
Ga 0.342 0.000 0.342
Ga 0.658 0.000 0.658
Ga 0.674 0.326 0.000
Ga 0.674 0.674 0.349

(20)
NaGa | PBE | relaxed

Output
- Space-group type: No. 19
- E_form: -0.05 eV/atom
- Total DFT energy (no corrections): -2.2239 eV per atom

a = 5.772 Å, b = 5.845 Å, c = 11.937 Å
α = 90.00°, β = 90.00°, γ = 90.00°
Sites, in units of the cell vectors:
Na 0.236 0.224 0.424
Na 0.239 0.395 0.740
Na 0.261 0.605 0.240
Na 0.264 0.776 0.924
Na 0.736 0.276 0.576
Na 0.739 0.105 0.260
Na 0.761 0.895 0.760
Na 0.764 0.724 0.076
Ga 0.005 0.745 0.503
Ga 0.240 0.083 0.153
Ga 0.260 0.917 0.653
Ga 0.495 0.255 0.003
Ga 0.505 0.755 0.497
Ga 0.740 0.417 0.847
Ga 0.760 0.583 0.347
Ga 0.995 0.245 0.997